1.
# SmYTh (GGA-PBE, relaxed)
# total moment	0.00	μB per formula unit
# raw total energy	-0.441	Ry/atom
# formation energy from the elements	0.197	eV/atom
# ΔE to the lowest computed polymorph	171	meV per atom
data_SmYTh
_chemical_formula_sum 'Sm2 Y2 Th2'
_cell_length_a 4.938
_cell_length_b 4.938
_cell_length_c 8.561
_cell_angle_alpha 90.00
_cell_angle_beta 90.00
_cell_angle_gamma 90.00
_space_group_name_H-M_alt 'P 1'
_space_group_IT_number 1
loop_
_space_group_symop_operation_xyz
'x,y,z'
loop_
_atom_site_label
_atom_site_type_symbol
_atom_site_fract_x
_atom_site_fract_y
_atom_site_fract_z
Th1 Th 0.000 0.000 0.000
Th2 Th 0.500 0.500 0.000
Y1 Y 0.000 0.500 0.702
Y2 Y 0.500 0.000 0.298
Sm1 Sm 0.000 0.500 0.286
Sm2 Sm 0.500 0.000 0.714

2.
# Sm9Y2Th (GGA-PBE, relaxed)
# total moment	0.00	μB per formula unit
# raw total energy	-0.383	Ry/atom
# formation energy from the elements	0.030	eV/atom
data_Sm9Y2Th
_chemical_formula_sum 'Sm9 Y2 Th1'
_cell_length_a 5.111
_cell_length_b 5.111
_cell_length_c 15.338
_cell_angle_alpha 90.00
_cell_angle_beta 90.00
_cell_angle_gamma 90.00
_space_group_name_H-M_alt 'P 1'
_space_group_IT_number 1
loop_
_space_group_symop_operation_xyz
'x,y,z'
loop_
_atom_site_label
_atom_site_type_symbol
_atom_site_fract_x
_atom_site_fract_y
_atom_site_fract_z
Sm1 Sm 0.500 0.500 0.000
Sm2 Sm 0.500 0.500 0.335
Sm3 Sm 0.500 0.500 0.665
Sm4 Sm 0.500 0.000 0.164
Sm5 Sm 0.500 0.000 0.500
Sm6 Sm 0.500 0.000 0.836
Sm7 Sm 0.000 0.500 0.164
Sm8 Sm 0.000 0.500 0.500
Sm9 Sm 0.000 0.500 0.836
Y1 Y 0.000 0.000 0.333
Y2 Y 0.000 0.000 0.667
Th1 Th 0.000 0.000 0.000

3.
# Sm6Y8Th (GGA-PBE, relaxed)
# total moment	0.00	μB per formula unit
# raw total energy	-0.415	Ry/atom
# formation energy from the elements	0.178	eV/atom
# ΔE to the lowest computed polymorph	58	meV per atom
data_Sm6Y8Th
_chemical_formula_sum 'Sm6 Y8 Th1'
_cell_length_a 9.864
_cell_length_b 9.864
_cell_length_c 8.197
_cell_angle_alpha 53.01
_cell_angle_beta 53.01
_cell_angle_gamma 60.00
_space_group_name_H-M_alt 'P 1'
_space_group_IT_number 1
loop_
_space_group_symop_operation_xyz
'x,y,z'
loop_
_atom_site_label
_atom_site_type_symbol
_atom_site_fract_x
_atom_site_fract_y
_atom_site_fract_z
Sm1 Sm 0.385 0.924 0.974
Sm2 Sm 0.076 0.283 0.026
Sm3 Sm 0.283 0.615 0.026
Sm4 Sm 0.717 0.385 0.974
Sm5 Sm 0.924 0.717 0.974
Sm6 Sm 0.615 0.076 0.026
Y1 Y 0.349 0.230 0.494
Y2 Y 0.770 0.073 0.506
Y3 Y 0.073 0.651 0.506
Y4 Y 0.587 0.587 0.238
Y5 Y 0.413 0.413 0.762
Y6 Y 0.927 0.349 0.494
Y7 Y 0.230 0.927 0.494
Y8 Y 0.651 0.770 0.506
Th1 Th 0.000 0.000 0.000

4.
# SmYTh2 (GGA-PBE, relaxed)
# total moment	0.00	μB per formula unit
# raw total energy	-0.475	Ry/atom
# formation energy from the elements	0.042	eV/atom
# ΔE to the lowest computed polymorph	13	meV per atom
data_SmYTh2
_chemical_formula_sum 'Sm1 Y1 Th2'
_cell_length_a 3.592
_cell_length_b 3.592
_cell_length_c 11.791
_cell_angle_alpha 81.24
_cell_angle_beta 81.24
_cell_angle_gamma 60.00
_space_group_name_H-M_alt 'P 1'
_space_group_IT_number 1
loop_
_space_group_symop_operation_xyz
'x,y,z'
loop_
_atom_site_label
_atom_site_type_symbol
_atom_site_fract_x
_atom_site_fract_y
_atom_site_fract_z
Y1 Y 0.500 0.500 0.500
Sm1 Sm 0.000 0.000 0.000
Th1 Th 0.750 0.750 0.749
Th2 Th 0.250 0.250 0.251

5.
# SmY6Th (GGA-PBE, relaxed)
# total moment	0.00	μB per formula unit
# raw total energy	-0.465	Ry/atom
# formation energy from the elements	0.033	eV/atom
# ΔE to the lowest computed polymorph	0	meV per atom
data_SmY6Th
_chemical_formula_sum 'Sm1 Y6 Th1'
_cell_length_a 5.066
_cell_length_b 5.066
_cell_length_c 10.118
_cell_angle_alpha 90.00
_cell_angle_beta 90.00
_cell_angle_gamma 90.00
_space_group_name_H-M_alt 'P 1'
_space_group_IT_number 1
loop_
_space_group_symop_operation_xyz
'x,y,z'
loop_
_atom_site_label
_atom_site_type_symbol
_atom_site_fract_x
_atom_site_fract_y
_atom_site_fract_z
Sm1 Sm 0.000 0.000 0.000
Y1 Y 0.500 0.500 0.000
Y2 Y 0.500 0.500 0.500
Y3 Y 0.500 0.000 0.254
Y4 Y 0.500 0.000 0.746
Y5 Y 0.000 0.500 0.254
Y6 Y 0.000 0.500 0.746
Th1 Th 0.000 0.000 0.500

6.
# Sm2Y8Th (GGA-PBE, relaxed)
# total moment	0.00	μB per formula unit
# raw total energy	-0.445	Ry/atom
# formation energy from the elements	0.175	eV/atom
# ΔE to the lowest computed polymorph	0	meV per atom
data_Sm2Y8Th
_chemical_formula_sum 'Sm2 Y8 Th1'
_cell_length_a 5.403
_cell_length_b 8.434
_cell_length_c 8.434
_cell_angle_alpha 104.87
_cell_angle_beta 90.04
_cell_angle_gamma 90.04
_space_group_name_H-M_alt 'P 1'
_space_group_IT_number 1
loop_
_space_group_symop_operation_xyz
'x,y,z'
loop_
_atom_site_label
_atom_site_type_symbol
_atom_site_fract_x
_atom_site_fract_y
_atom_site_fract_z
Sm1 Sm 0.000 0.380 0.620
Sm2 Sm 0.000 0.620 0.380
Y1 Y 0.000 0.967 0.704
Y2 Y 0.000 0.704 0.967
Y3 Y 0.500 0.667 0.667
Y4 Y 0.500 0.747 0.253
Y5 Y 0.500 0.253 0.747
Y6 Y 0.500 0.333 0.333
Y7 Y 0.000 0.296 0.033
Y8 Y 0.000 0.033 0.296
Th1 Th 0.500 0.000 0.000

7.
# Sm5Y12Th2 (GGA-PBE, relaxed)
# total moment	0.00	μB per formula unit
# raw total energy	-0.441	Ry/atom
# formation energy from the elements	0.104	eV/atom
# ΔE to the lowest computed polymorph	0	meV per atom
data_Sm5Y12Th2
_chemical_formula_sum 'Sm5 Y12 Th2'
_cell_length_a 8.803
_cell_length_b 10.173
_cell_length_c 11.415
_cell_angle_alpha 132.16
_cell_angle_beta 109.76
_cell_angle_gamma 95.19
_space_group_name_H-M_alt 'P 1'
_space_group_IT_number 1
loop_
_space_group_symop_operation_xyz
'x,y,z'
loop_
_atom_site_label
_atom_site_type_symbol
_atom_site_fract_x
_atom_site_fract_y
_atom_site_fract_z
Sm1 Sm 0.405 0.643 0.647
Sm2 Sm 0.323 0.828 0.429
Sm3 Sm 0.000 0.000 0.500
Sm4 Sm 0.677 0.172 0.571
Sm5 Sm 0.595 0.357 0.353
Y1 Y 0.817 0.679 0.892
Y2 Y 0.164 0.557 0.965
Y3 Y 0.427 0.385 0.772
Y4 Y 0.994 0.637 0.462
Y5 Y 0.770 0.912 0.690
Y6 Y 0.411 0.111 0.865
Y7 Y 0.589 0.889 0.135
Y8 Y 0.006 0.363 0.538
Y9 Y 0.230 0.088 0.310
Y10 Y 0.836 0.443 0.035
Y11 Y 0.573 0.615 0.228
Y12 Y 0.183 0.321 0.108
Th1 Th 0.816 0.121 0.086
Th2 Th 0.184 0.879 0.914

8.
# Sm7Y3Th (GGA-PBE, relaxed)
# total moment	0.00	μB per formula unit
# raw total energy	-0.386	Ry/atom
# formation energy from the elements	0.190	eV/atom
# ΔE to the lowest computed polymorph	0	meV per atom
data_Sm7Y3Th
_chemical_formula_sum 'Sm7 Y3 Th1'
_cell_length_a 8.721
_cell_length_b 7.171
_cell_length_c 7.171
_cell_angle_alpha 120.00
_cell_angle_beta 90.00
_cell_angle_gamma 90.00
_space_group_name_H-M_alt 'P 1'
_space_group_IT_number 1
loop_
_space_group_symop_operation_xyz
'x,y,z'
loop_
_atom_site_label
_atom_site_type_symbol
_atom_site_fract_x
_atom_site_fract_y
_atom_site_fract_z
Sm1 Sm 0.119 0.170 0.830
Sm2 Sm 0.119 0.170 0.340
Sm3 Sm 0.117 0.667 0.333
Sm4 Sm 0.451 0.832 0.168
Sm5 Sm 0.451 0.336 0.168
Sm6 Sm 0.451 0.832 0.664
Sm7 Sm 0.119 0.660 0.830
Y1 Y 0.780 0.498 0.502
Y2 Y 0.780 0.498 0.996
Y3 Y 0.780 0.004 0.502
Th1 Th 0.449 0.333 0.667